[1]
# Pr3Bi2Te, relaxed, DFT PBE
data_Pr3Bi2Te
_chemical_formula_sum 'Pr12 Bi8 Te4'
_symmetry_space_group_name_H-M 'C 1 2/c 1'
_symmetry_Int_Tables_number 15
_cell_length_a 7.975
_cell_length_b 13.840
_cell_length_c 7.982
_cell_angle_alpha 90.00
_cell_angle_beta 109.51
_cell_angle_gamma 90.00
loop_
_symmetry_equiv_pos_as_xyz
'x,y,z'
'-x,-y,-z'
'-x,y,-z+1/2'
'x,-y,z+1/2'
'x+1/2,y+1/2,z'
'-x+1/2,-y+1/2,-z'
'-x+1/2,y+1/2,-z+1/2'
'x+1/2,-y+1/2,z+1/2'
loop_
_atom_site_label
_atom_site_type_symbol
_atom_site_fract_x
_atom_site_fract_y
_atom_site_fract_z
Pr1 Pr 0.249 0.084 0.001
Pr2 Pr 0.250 0.250 0.500
Bi1 Bi 0.000 0.083 0.250
Bi2 Bi 0.000 0.250 0.750
Te1 Te 0.000 0.416 0.250
# Calculated volume   34.604 Å³ per atom
# Energy above the most stable polymorph in this dataset   0 meV/atom
# Formation energy without anion corrections   -1.147 eV/atom
# Uncorrected energy   -5.3537 eV/atom



[2]
# Pr2BiTe, relaxed, DFT PBE
data_Pr2BiTe
_chemical_formula_sum 'Pr8 Bi4 Te4'
_symmetry_space_group_name_H-M 'F m -3 m'
_symmetry_Int_Tables_number 225
_symmetry_space_group_name_Hall '-F 4 2 3'
_cell_length_a 7.927
_cell_length_b 7.927
_cell_length_c 7.927
_cell_angle_alpha 90.00
_cell_angle_beta 90.00
_cell_angle_gamma 90.00
loop_
_atom_site_label
_atom_site_type_symbol
_atom_site_fract_x
_atom_site_fract_y
_atom_site_fract_z
Pr1 Pr 0.250 0.250 0.250
Bi1 Bi 0.000 0.000 0.000
Te1 Te 0.000 0.000 0.500
# Calculated volume   31.135 Å³ per atom
# Energy above the most stable polymorph in this dataset   211 meV/atom
# Formation energy without anion corrections   -1.015 eV/atom
# Uncorrected energy   -5.1609 eV/atom



[3]
# PrBiTe2, relaxed, DFT PBE
data_PrBiTe2
_chemical_formula_sum 'Pr4 Bi4 Te8'
_symmetry_space_group_name_H-M 'C m c m'
_symmetry_Int_Tables_number 63
_symmetry_space_group_name_Hall '-C 2c 2'
_cell_length_a 4.109
_cell_length_b 24.528
_cell_length_c 5.235
_cell_angle_alpha 90.00
_cell_angle_beta 90.00
_cell_angle_gamma 90.00
loop_
_atom_site_label
_atom_site_type_symbol
_atom_site_fract_x
_atom_site_fract_y
_atom_site_fract_z
Pr1 Pr 0.000 0.054 0.250
Bi1 Bi 0.000 0.314 0.250
Te1 Te 0.000 0.186 0.250
Te2 Te 0.000 0.445 0.250
# Calculated volume   32.979 Å³ per atom
# Energy above the most stable polymorph in this dataset   20 meV/atom
# Formation energy without anion corrections   -0.650 eV/atom
# Uncorrected energy   -4.3861 eV/atom



[4]
# Pr5BiTe4, relaxed, DFT PBE
data_Pr5BiTe4
_chemical_formula_sum 'Pr10 Bi2 Te8'
_symmetry_space_group_name_H-M 'I m m m'
_symmetry_Int_Tables_number 71
_symmetry_space_group_name_Hall '-I 2 2'
_cell_length_a 4.554
_cell_length_b 6.429
_cell_length_c 22.810
_cell_angle_alpha 90.00
_cell_angle_beta 90.00
_cell_angle_gamma 90.00
loop_
_atom_site_label
_atom_site_type_symbol
_atom_site_fract_x
_atom_site_fract_y
_atom_site_fract_z
Pr1 Pr 0.000 0.000 0.000
Pr2 Pr 0.000 0.000 0.200
Pr3 Pr 0.000 0.000 0.399
Bi1 Bi 0.000 0.500 0.000
Te1 Te 0.000 0.500 0.201
Te2 Te 0.000 0.500 0.400
# Calculated volume   33.393 Å³ per atom
# Energy above the most stable polymorph in this dataset   0 meV/atom
# Formation energy without anion corrections   -1.355 eV/atom
# Uncorrected energy   -5.3897 eV/atom